Entry 1:
A plane-wave DFT calculation with GGA-PBE was carried out for AcAs2Pd after structural relaxation. Values from VASP.

SG: C2, No. 5
DFT formation energy: -90.0 kJ/mol of atoms
Raw total energy: -5.58 eV per atom
Relative energy among the computed polymorphs: 0.00 eV per formula unit

```
&SYSTEM
  ibrav = 0, nat = 4, ntyp = 3
/
ATOMIC_SPECIES
Ac 227.00 Ac.upf
As 74.92 As.upf
Pd 106.42 Pd.upf
ATOMIC_POSITIONS angstrom
Ac 0.000 0.000 0.000
As 0.012 -0.006 3.793
As 3.099 -0.006 1.267
Pd 1.556 1.559 2.530
CELL_PARAMETERS angstrom
3.106 -3.107 0.000
3.106 3.107 0.000
-3.100 0.000 5.061
```

Entry 2:
A plane-wave DFT calculation with GGA-PBE was carried out for Ac2AsPd after structural relaxation. Values from VASP.

SG: R3m, No. 160
DFT formation energy: -93.3 kJ/mol of atoms
Raw total energy: -5.48 eV per atom
Relative energy among the computed polymorphs: 0.26 eV per formula unit

```
&SYSTEM
  ibrav = 0, nat = 4, ntyp = 3
/
ATOMIC_SPECIES
Ac 227.00 Ac.upf
As 74.92 As.upf
Pd 106.42 Pd.upf
ATOMIC_POSITIONS angstrom
Ac 0.000 0.000 0.000
Ac 0.000 0.000 3.971
As 0.000 0.000 13.637
Pd 0.000 0.000 9.753
CELL_PARAMETERS angstrom
2.187 1.263 7.788
-2.187 1.263 7.788
0.000 -2.526 7.788
```

Entry 3:
A plane-wave DFT calculation with GGA-PBE was carried out for AcAs2Pd after structural relaxation. Values from VASP.

SG: P4/mmm, No. 123
DFT formation energy: -35.1 kJ/mol of atoms
Raw total energy: -5.01 eV per atom
Relative energy among the computed polymorphs: 2.27 eV per formula unit

```
&SYSTEM
  ibrav = 0, nat = 4, ntyp = 3
/
ATOMIC_SPECIES
Ac 227.00 Ac.upf
As 74.92 As.upf
Pd 106.42 Pd.upf
ATOMIC_POSITIONS angstrom
Ac 0.000 0.000 0.000
As 1.832 1.832 2.117
As 1.832 1.832 4.625
Pd 0.000 0.000 3.371
CELL_PARAMETERS angstrom
3.664 0.000 0.000
0.000 3.664 0.000
0.000 0.000 6.742
```

Entry 4:
A plane-wave DFT calculation with GGA-PBE was carried out for Ac2As3Pd6 after structural relaxation. Values from VASP.

SG: P-62m, No. 189
DFT formation energy: -78.4 kJ/mol of atoms
Raw total energy: -5.66 eV per atom

```
&SYSTEM
  ibrav = 0, nat = 11, ntyp = 3
/
ATOMIC_SPECIES
Ac 227.00 Ac.upf
As 74.92 As.upf
Pd 106.42 Pd.upf
ATOMIC_POSITIONS angstrom
Ac 0.000 4.419 0.000
Ac 3.827 2.210 0.000
As -1.380 2.390 2.229
As 2.760 0.000 2.229
As 2.447 4.239 2.229
Pd -0.791 1.370 0.000
Pd -2.669 4.623 2.229
Pd 1.581 0.000 0.000
Pd 1.158 2.006 2.229
Pd 5.339 0.000 2.229
Pd 3.037 5.259 0.000
CELL_PARAMETERS angstrom
7.654 0.000 0.000
-3.827 6.629 0.000
0.000 0.000 4.457
```

Entry 5:
A plane-wave DFT calculation with GGA-PBE was carried out for AcAsPd6 after structural relaxation. Values from VASP.

SG: R-3m, No. 166
DFT formation energy: -35.3 kJ/mol of atoms
Raw total energy: -5.35 eV per atom

```
&SYSTEM
  ibrav = 0, nat = 8, ntyp = 3
/
ATOMIC_SPECIES
Ac 227.00 Ac.upf
As 74.92 As.upf
Pd 106.42 Pd.upf
ATOMIC_POSITIONS angstrom
Ac 0.000 0.000 0.000
As 0.000 0.000 8.922
Pd -1.511 -0.872 7.300
Pd 0.000 -1.745 10.543
Pd -1.511 0.872 10.543
Pd 1.511 -0.872 7.300
Pd 0.000 1.745 7.300
Pd 1.511 0.872 10.543
CELL_PARAMETERS angstrom
2.881 1.663 5.948
-2.881 1.663 5.948
0.000 -3.326 5.948
```

Entry 6:
A plane-wave DFT calculation with GGA-PBE was carried out for AcAs2Pd3 after structural relaxation. Values from VASP.

SG: C2/m, No. 12
DFT formation energy: -74.9 kJ/mol of atoms
Raw total energy: -5.61 eV per atom

```
&SYSTEM
  ibrav = 0, nat = 12, ntyp = 3
/
ATOMIC_SPECIES
Ac 227.00 Ac.upf
As 74.92 As.upf
Pd 106.42 Pd.upf
ATOMIC_POSITIONS angstrom
Ac 2.203 0.000 0.510
Ac 10.655 0.000 6.381
As 0.816 0.000 4.755
As 5.094 0.000 5.634
As 7.764 0.000 1.257
As 12.041 0.000 2.136
Pd -0.481 0.000 2.578
Pd 3.209 0.000 3.922
Pd 5.419 0.000 2.165
Pd 7.438 0.000 4.726
Pd 9.649 0.000 2.969
Pd 13.339 0.000 4.313
CELL_PARAMETERS angstrom
8.061 -2.154 0.000
8.061 2.154 0.000
-3.264 0.000 6.891
```

Entry 7:
A plane-wave DFT calculation with GGA-PBE was carried out for Ac2AsPd after structural relaxation. Values from VASP.

SG: R-3m, No. 166
DFT formation energy: -99.7 kJ/mol of atoms
Raw total energy: -5.55 eV per atom
Relative energy among the computed polymorphs: 0.00 eV per formula unit

```
&SYSTEM
  ibrav = 0, nat = 4, ntyp = 3
/
ATOMIC_SPECIES
Ac 227.00 Ac.upf
As 74.92 As.upf
Pd 106.42 Pd.upf
ATOMIC_POSITIONS angstrom
Ac 0.000 0.000 5.646
Ac 0.000 0.000 17.043
As 0.000 0.000 0.000
Pd 0.000 0.000 11.344
CELL_PARAMETERS angstrom
2.214 1.278 7.563
-2.214 1.278 7.563
0.000 -2.557 7.563
```

Entry 8:
A plane-wave DFT calculation with GGA-PBE was carried out for AcAs2Pd after structural relaxation. Values from VASP.

SG: P4_1, No. 76
DFT formation energy: -76.8 kJ/mol of atoms
Raw total energy: -5.45 eV per atom
Relative energy among the computed polymorphs: 0.55 eV per formula unit

```
&SYSTEM
  ibrav = 0, nat = 16, ntyp = 3
/
ATOMIC_SPECIES
Ac 227.00 Ac.upf
As 74.92 As.upf
Pd 106.42 Pd.upf
ATOMIC_POSITIONS angstrom
Ac 0.685 3.616 0.000
Ac 1.042 0.685 4.763
Ac 3.616 3.973 14.289
Ac 3.973 1.042 9.526
As 0.408 3.056 7.239
As 1.181 1.707 14.197
As 1.602 0.408 12.002
As 1.707 3.478 9.434
As 2.951 1.181 18.960
As 3.056 4.250 2.476
As 3.478 2.951 4.671
As 4.250 1.602 16.765
Pd 0.866 2.749 11.776
Pd 1.910 0.866 16.539
Pd 2.749 3.792 7.013
Pd 3.792 1.910 2.250
CELL_PARAMETERS angstrom
4.658 0.000 0.000
0.000 4.658 0.000
0.000 0.000 19.052
```

Entry 9:
A plane-wave DFT calculation with GGA-PBE was carried out for AcAs3Pd4 after structural relaxation. Values from VASP.

SG: P4/mmm, No. 123
DFT formation energy: -63.2 kJ/mol of atoms
Raw total energy: -5.51 eV per atom

```
&SYSTEM
  ibrav = 0, nat = 8, ntyp = 3
/
ATOMIC_SPECIES
Ac 227.00 Ac.upf
As 74.92 As.upf
Pd 106.42 Pd.upf
ATOMIC_POSITIONS angstrom
Ac 0.000 0.000 0.000
As 0.000 0.000 4.078
As 2.191 2.191 1.311
As 2.191 2.191 6.844
Pd 0.000 2.191 2.645
Pd 0.000 2.191 5.510
Pd 2.191 0.000 2.645
Pd 2.191 0.000 5.510
CELL_PARAMETERS angstrom
4.381 0.000 0.000
0.000 4.381 0.000
0.000 0.000 8.155
```

Entry 10:
A plane-wave DFT calculation with GGA-PBE was carried out for AcAs2Pd after structural relaxation. Values from VASP.

SG: Fm-3m, No. 225
DFT formation energy: -47.0 kJ/mol of atoms
Raw total energy: -5.14 eV per atom
Relative energy among the computed polymorphs: 1.78 eV per formula unit

```
&SYSTEM
  ibrav = 0, nat = 4, ntyp = 3
/
ATOMIC_SPECIES
Ac 227.00 Ac.upf
As 74.92 As.upf
Pd 106.42 Pd.upf
ATOMIC_POSITIONS angstrom
Ac 0.000 0.000 0.000
As 1.789 1.789 1.789
As 5.368 5.368 5.368
Pd 3.579 3.579 3.579
CELL_PARAMETERS angstrom
0.000 3.579 3.579
3.579 0.000 3.579
3.579 3.579 0.000
```

Entry 11:
A plane-wave DFT calculation with GGA-PBE was carried out for Ac3As2Pd4 after structural relaxation. Values from VASP.

SG: C2/m, No. 12
DFT formation energy: -99.9 kJ/mol of atoms
Raw total energy: -5.75 eV per atom

```
&SYSTEM
  ibrav = 0, nat = 9, ntyp = 3
/
ATOMIC_SPECIES
Ac 227.00 Ac.upf
As 74.92 As.upf
Pd 106.42 Pd.upf
ATOMIC_POSITIONS angstrom
Ac 0.000 0.000 0.000
Ac 3.032 0.000 2.851
Ac 5.973 0.000 5.723
As 2.689 0.000 6.124
As 6.316 0.000 2.450
Pd -0.288 0.000 3.248
Pd 0.924 0.000 7.982
Pd 8.081 0.000 0.592
Pd 9.293 0.000 5.326
CELL_PARAMETERS angstrom
5.732 -2.251 0.000
5.732 2.251 0.000
-2.459 0.000 8.574
```

Entry 12:
A plane-wave DFT calculation with GGA-PBE was carried out for AcAsPd2 after structural relaxation. Values from VASP.

SG: P4/mmm, No. 123
DFT formation energy: -37.8 kJ/mol of atoms
Raw total energy: -5.18 eV per atom

```
&SYSTEM
  ibrav = 0, nat = 4, ntyp = 3
/
ATOMIC_SPECIES
Ac 227.00 Ac.upf
As 74.92 As.upf
Pd 106.42 Pd.upf
ATOMIC_POSITIONS angstrom
Ac 0.000 0.000 0.000
As 0.000 0.000 3.303
Pd 1.817 1.817 1.941
Pd 1.817 1.817 4.665
CELL_PARAMETERS angstrom
3.635 0.000 0.000
0.000 3.635 0.000
0.000 0.000 6.606
```